Entry from Alexandria via LeMat-Bulk: a geometry-optimized ZrTeBrN2 structure (PBE-GGA).

POSCAR file:
```
ZrTeBrN2
1.0
4.196 0.000 0.000
0.000 4.196 0.000
0.000 0.000 5.206
Zr Te Br N
1 1 1 2
direct
0.000 0.000 0.000
0.500 0.500 0.000
0.500 0.500 0.500
0.000 0.500 0.500
0.500 0.000 0.500
```

Summary:
Energy relative to the lowest polymorph listed for this composition, eV/f.u.: 6.406
Formation energy (no corrections), eV/atom: 1.7282

Entry from Alexandria via LeMat-Bulk: a geometry-optimized Pr3CdRu structure (PBE-GGA).

POSCAR file:
```
Pr3CdRu
1.0
0.000 5.156 8.137
3.377 0.000 8.137
3.377 5.156 0.000
Pr Cd Ru
6 2 2
direct
0.197 0.582 0.418
0.199 0.199 0.801
0.418 0.803 0.197
0.582 0.197 0.803
0.801 0.801 0.199
0.803 0.418 0.582
0.206 0.794 0.794
0.794 0.206 0.206
0.250 0.250 0.250
0.750 0.750 0.750
```

Summary:
Energy relative to the lowest polymorph listed for this composition, eV/f.u.: 0.000

Entry from Alexandria via LeMat-Bulk: a geometry-optimized Sm6As5 structure (PBE-GGA).

POSCAR file:
```
Sm6As5
1.0
3.628 -6.275 0.000
3.628 6.275 0.000
-2.420 0.000 6.851
Sm As
6 5
direct
0.074 0.415 0.748
0.244 0.244 0.256
0.415 0.074 0.748
0.585 0.926 0.252
0.756 0.756 0.744
0.926 0.585 0.252
0.000 0.000 0.500
0.166 0.834 0.000
0.333 0.667 0.500
0.667 0.333 0.500
0.834 0.166 0.000
```

Entry from Alexandria via LeMat-Bulk: a geometry-optimized Nd2Tl4Cd structure (PBE-GGA).

POSCAR file:
```
Nd2Tl4Cd
1.0
-2.916 2.916 6.551
2.916 -2.916 6.551
2.916 2.916 -6.551
Nd Tl Cd
2 4 1
direct
0.143 0.143 0.000
0.857 0.857 0.000
0.000 0.500 0.500
0.250 0.750 0.500
0.500 0.000 0.500
0.750 0.250 0.500
0.500 0.500 0.000
```

Entry from Alexandria via LeMat-Bulk: a geometry-optimized CePrN2 structure (PBE-GGA).

POSCAR file:
```
CePrN2
1.0
1.784 1.030 6.125
-1.784 1.030 6.125
0.000 -2.060 6.125
Ce Pr N
1 1 2
direct
0.000 0.000 0.000
0.172 0.172 0.172
0.406 0.406 0.406
0.588 0.588 0.588
```

Summary:
Formation energy (no corrections), eV/atom: -1.2352

Entry from Alexandria via LeMat-Bulk: a geometry-optimized RbCd2Ga structure (PBE-GGA).

POSCAR file:
```
RbCd2Ga
1.0
4.777 0.000 0.000
0.000 18.219 0.000
0.000 0.000 6.364
Rb Cd Ga
4 8 4
direct
0.248 0.082 0.252
0.248 0.418 0.752
0.752 0.582 0.248
0.752 0.918 0.748
0.248 0.191 0.752
0.248 0.309 0.252
0.252 0.750 0.497
0.252 0.750 0.997
0.748 0.250 0.003
0.748 0.250 0.503
0.752 0.691 0.748
0.752 0.809 0.248
0.251 0.617 0.747
0.251 0.883 0.247
0.749 0.117 0.753
0.749 0.383 0.253
```

Entry from Alexandria via LeMat-Bulk: a geometry-optimized Y2ThMg6 structure (PBE-GGA).

POSCAR file:
```
Y2ThMg6
1.0
9.057 0.000 0.000
-4.529 7.844 0.000
0.000 0.000 3.359
Y Th Mg
2 1 6
direct
0.333 0.667 0.000
0.667 0.333 0.000
0.000 0.000 0.000
0.000 0.335 0.500
0.000 0.665 0.500
0.335 0.000 0.500
0.335 0.335 0.500
0.665 0.000 0.500
0.665 0.665 0.500
```

Entry from Alexandria via LeMat-Bulk: a geometry-optimized CeAs12Ir4 structure (PBE-GGA).

POSCAR file:
```
CeAs12Ir4
1.0
-4.345 4.345 4.345
4.345 -4.345 4.345
4.345 4.345 -4.345
Ce As Ir
1 12 4
direct
0.000 0.000 0.000
0.144 0.343 0.487
0.144 0.657 0.802
0.198 0.856 0.343
0.343 0.198 0.856
0.343 0.487 0.144
0.487 0.144 0.343
0.513 0.856 0.657
0.657 0.513 0.856
0.657 0.802 0.144
0.802 0.144 0.657
0.856 0.343 0.198
0.856 0.657 0.513
0.000 0.000 0.500
0.000 0.500 0.000
0.500 0.000 0.000
0.500 0.500 0.500
```

| no. | raw total energy (eV for the cell shown) |
| --- | --- |
| 1 | -21.37 |
| 2 | -51.42 |
| 3 | -66.65 |
| 4 | -20.12 |
| 5 | -32.31 |
| 6 | -23.60 |
| 7 | -30.30 |
| 8 | -105.02 |